Here is an optimized crystal structure of TcP2IrS from Alexandria. Energies are from PBE.

Unit cell a=4.577 b=4.577 c=4.426 alpha=90.00 beta=90.00 gamma=90.00
Atoms (fractional coordinates):
1 P 0.000 0.500 0.000
2 P 0.500 0.000 0.000
3 S 0.000 0.000 0.500
4 Ir 0.500 0.500 0.500
5 Tc 0.000 0.000 0.000

Results
**Spin magnetization**: 0.000 μB per cell
**E_tot**: -5.783 eV per atom
**SG**: P4/mmm (123)
**Polymorph energy (0 for the lowest one)**: 0.0 meV/atom
**Energy relative to the elements, uncorrected**: 1052 meV per atom


Here is an optimized crystal structure of Tb7Sm4Pu from Alexandria. Energies are from PBE.

Unit cell a=5.858 b=6.644 c=11.798 alpha=83.08 beta=75.63 gamma=63.84
Each line ends with the local moment (μB).
Atoms (fractional coordinates):
1 Tb 0.796 0.487 0.921  0.11
2 Tb 0.204 0.513 0.079  0.11
3 Tb 0.088 0.114 0.710  0.09
4 Tb 0.912 0.886 0.290  0.09
5 Tb 0.367 0.779 0.487  -0.04
6 Tb 0.500 0.000 0.000  0.36
7 Tb 0.633 0.221 0.513  -0.04
8 Sm 0.634 0.508 0.225  -0.04
9 Sm 0.366 0.492 0.775  -0.04
10 Sm 0.814 0.723 0.649  -0.02
11 Sm 0.186 0.277 0.351  -0.02
12 Pu 0.000 0.000 0.000  5.78

Results
**Spin magnetization**: 6.614 μB per cell
**E_tot**: -5.189 eV per atom
**Energy of formation from the pure elements**: 3.35 eV per formula unit
**SG**: C2/m (12)


Here is an optimized crystal structure of Tb16Dy6Er7 from Alexandria. Energies are from PBE.

Unit cell a=11.057 b=11.057 c=11.057 alpha=60.00 beta=60.00 gamma=60.00
Atoms (fractional coordinates):
1 Tb 0.877 0.877 0.369
2 Tb 0.877 0.877 0.877
3 Tb 0.877 0.369 0.877
4 Tb 0.369 0.877 0.877
5 Tb 0.123 0.123 0.123
6 Tb 0.123 0.123 0.631
7 Tb 0.123 0.631 0.123
8 Tb 0.631 0.123 0.123
9 Tb 0.652 0.652 0.045
10 Tb 0.652 0.652 0.652
11 Tb 0.652 0.045 0.652
12 Tb 0.045 0.652 0.652
13 Tb 0.348 0.348 0.348
14 Tb 0.348 0.348 0.955
15 Tb 0.348 0.955 0.348
16 Tb 0.955 0.348 0.348
17 Dy 0.278 0.722 0.278
18 Dy 0.722 0.278 0.722
19 Dy 0.722 0.278 0.278
20 Dy 0.278 0.722 0.722
21 Dy 0.722 0.722 0.278
22 Dy 0.278 0.278 0.722
23 Er 0.000 0.000 0.000
24 Er 0.500 0.000 0.500
25 Er 0.000 0.500 0.000
26 Er 0.000 0.500 0.500
27 Er 0.500 0.000 0.000
28 Er 0.000 0.000 0.500
29 Er 0.500 0.500 0.000

Results
**Spin magnetization**: 0.009 μB per cell
**E_tot**: -4.375 eV per atom
**Energy of formation from the pure elements**: 6.75 eV per formula unit
**SG**: Fm-3m (225)


Here is an optimized crystal structure of FeAsAu from Alexandria. Energies are from PBE.

Unit cell a=4.221 b=4.221 c=4.221 alpha=60.00 beta=60.00 gamma=60.00
Each line ends with the local moment (μB).
Atoms (fractional coordinates):
1 As 0.000 0.000 0.000  -0.07
2 Au 0.500 0.500 0.500  0.10
3 Fe 0.750 0.750 0.750  2.49

Results
**Spin magnetization**: 2.529 μB per cell
**E_tot**: -5.266 eV per atom
**Energy of formation from the pure elements**: 0.59 eV per formula unit
**SG**: F-43m (216)
**Polymorph energy (0 for the lowest one)**: 37.3 meV/atom


Here is an optimized crystal structure of YFeCo2Sn from Alexandria. Energies are from PBE.

Unit cell a=4.683 b=4.783 c=4.683 alpha=90.00 beta=90.00 gamma=90.00
Each line ends with the local moment (μB).
Atoms (fractional coordinates):
1 Y 0.000 0.000 0.000  -0.27
2 Co 0.000 0.000 0.500  1.01
3 Co 0.500 0.000 0.000  0.98
4 Sn 0.500 0.500 0.500  -0.01
5 Fe 0.000 0.500 0.000  2.46

Results
**Spin magnetization**: 4.068 μB per cell
**E_tot**: -5.133 eV per atom
**Energy of formation from the pure elements**: 7.48 eV per formula unit
**SG**: P4/mmm (123)


Here is an optimized crystal structure of Ac8ZnRh3I3 from Alexandria. Energies are from PBE.

Unit cell a=8.910 b=8.915 c=9.827 alpha=117.01 beta=89.99 gamma=119.99
Atoms (fractional coordinates):
1 Ac 0.270 0.539 0.309
2 Ac 0.730 0.461 0.691
3 Ac 0.760 0.520 0.307
4 Ac 0.240 0.480 0.693
5 Ac 0.760 0.047 0.308
6 Ac 0.240 0.953 0.692
7 Ac 0.287 0.047 0.307
8 Ac 0.713 0.953 0.693
9 Zn 0.000 0.000 0.500
10 Rh 0.500 0.000 0.500
11 Rh 0.500 0.500 0.500
12 Rh 0.000 0.500 0.500
13 I 0.000 0.000 0.000
14 I 0.000 0.500 0.000
15 I 0.500 0.500 0.000

Results
**Spin magnetization**: 0.000 μB per cell
**E_tot**: -4.844 eV per atom
**SG**: R-3m (166)
**Energy relative to the elements, uncorrected**: -788 meV per atom


Here is an optimized crystal structure of GdThAgGe from Alexandria. Energies are from PBE.

Unit cell a=5.201 b=5.201 c=5.201 alpha=60.00 beta=60.00 gamma=60.00
Each line ends with the local moment (μB).
Atoms (fractional coordinates):
1 Ge 0.250 0.250 0.250  -0.05
2 Gd 0.500 0.500 0.500  7.10
3 Ag 0.750 0.750 0.750  0.00
4 Th 0.000 0.000 0.000  0.10

Results
**Spin magnetization**: 7.426 μB per cell
**E_tot**: -7.631 eV per atom
**Energy of formation from the pure elements**: -1.55 eV per formula unit
**SG**: F-43m (216)


Here is an optimized crystal structure of Y8Sn3BiTe4 from Alexandria. Energies are from PBE.

Unit cell a=8.824 b=8.823 c=8.824 alpha=120.00 beta=120.00 gamma=90.00
Atoms (fractional coordinates):
1 Y 0.249 0.738 0.989
2 Y 0.249 0.738 0.498
3 Y 0.254 0.263 0.509
4 Y 0.740 0.738 0.989
5 Y 0.260 0.262 0.011
6 Y 0.746 0.737 0.491
7 Y 0.751 0.262 0.502
8 Y 0.751 0.262 0.011
9 Sn 0.500 0.500 0.000
10 Sn 0.500 0.500 0.500
11 Sn 0.000 0.500 0.500
12 Bi 0.000 0.500 0.000
13 Te 0.500 0.000 0.000
14 Te 0.500 0.000 0.500
15 Te 0.000 0.000 0.000
16 Te 0.000 0.000 0.500

Results
**Spin magnetization**: 0.000 μB per cell
**E_tot**: -6.114 eV per atom
**SG**: R-3m (166)
**Energy relative to the elements, uncorrected**: -1103 meV per atom


Here is an optimized crystal structure of BaLa5Cd4 from Alexandria. Energies are from PBE.

Unit cell a=3.980 b=3.980 c=21.415 alpha=90.00 beta=90.00 gamma=90.00
Each line ends with the local moment (μB).
Atoms (fractional coordinates):
1 Ba 0.000 0.000 0.000  0.01
2 La 0.500 0.500 0.143  0.04
3 La 0.500 0.500 0.319  0.17
4 La 0.500 0.500 0.500  0.17
5 La 0.500 0.500 0.681  0.17
6 La 0.500 0.500 0.857  0.04
7 Cd 0.000 0.000 0.229  0.01
8 Cd 0.000 0.000 0.409  0.01
9 Cd 0.000 0.000 0.591  0.01
10 Cd 0.000 0.000 0.771  0.01

Results
**Spin magnetization**: 1.504 μB per cell
**E_tot**: -3.245 eV per atom
**Energy of formation from the pure elements**: -2.23 eV per formula unit
**SG**: P4/mmm (123)


Here is an optimized crystal structure of Ba2SrCa2 from Alexandria. Energies are from PBE.

Unit cell a=11.126 b=11.126 c=4.308 alpha=90.00 beta=90.00 gamma=90.00
Atoms (fractional coordinates):
1 Sr 0.000 0.000 0.000
2 Sr 0.500 0.500 0.000
3 Ca 0.170 0.670 0.500
4 Ca 0.670 0.830 0.500
5 Ca 0.830 0.330 0.500
6 Ca 0.330 0.170 0.500
7 Ba 0.373 0.873 0.000
8 Ba 0.873 0.627 0.000
9 Ba 0.627 0.127 0.000
10 Ba 0.127 0.373 0.000

Results
**Spin magnetization**: 0.001 μB per cell
**E_tot**: -1.783 eV per atom
**Energy of formation from the pure elements**: 0.62 eV per formula unit
**SG**: P4/mbm (127)
**Polymorph energy (0 for the lowest one)**: 17.8 meV/atom


Here is an optimized crystal structure of Na2VCuB from Alexandria. Energies are from PBE.

Unit cell a=4.977 b=3.873 c=4.977 alpha=90.00 beta=90.00 gamma=90.00
Each line ends with the local moment (μB).
Atoms (fractional coordinates):
1 Na 0.000 0.000 0.500  0.00
2 Na 0.500 0.000 0.000  0.00
3 B 0.000 0.000 0.000  0.06
4 Cu 0.000 0.500 0.000  0.01
5 V 0.500 0.500 0.500  0.09

Results
**Spin magnetization**: 0.273 μB per cell
**E_tot**: -3.246 eV per atom
**Energy of formation from the pure elements**: 6.30 eV per formula unit
**SG**: P4/mmm (123)